[1]
DFT (PBEsol) results for a relaxed structure of P2HOsCl.

Properties
- N(E_F) (states/eV per atom) = 0.666
- total energy (Ry per atom) = -0.3550
- crystal system = tetragonal
- size of the total moment (μB per formula unit) = 0.0

a b c (Å): 3.671 3.671 4.437
angles (deg): 90.00 90.00 90.00
Sites, in units of the cell vectors:
1 P 0.000 0.500 0.000
2 P 0.500 0.000 0.000
3 Cl 0.000 0.000 0.500
4 Os 0.500 0.500 0.500
5 H 0.000 0.000 0.000

[2]
DFT (PBEsol) results for a relaxed structure of PHCl3.

Properties
- N(E_F) (states/eV per atom) = 0.041
- total energy (Ry per atom) = -0.2097
- crystal system = cubic
- size of the total moment (μB per formula unit) = 1.0

a b c (Å): 4.686 4.686 4.686
angles (deg): 90.00 90.00 90.00
Site moments in Bohr magnetons follow the coordinates.
Sites, in units of the cell vectors:
1 Cl 0.000 0.500 0.000  0.01
2 Cl 0.500 0.000 0.000  0.01
3 Cl 0.000 0.000 0.500  0.01
4 P 0.000 0.000 0.000  0.01
5 H 0.500 0.500 0.500  0.36

[3]
DFT (PBEsol) results for a relaxed structure of PHCl2.

Properties
- N(E_F) (states/eV per atom) = 0.221
- total energy (Ry per atom) = -0.2209
- crystal system = trigonal
- size of the total moment (μB per formula unit) = 0.0

a b c (Å): 3.187 3.187 7.539
angles (deg): 77.80 77.80 60.00
Sites, in units of the cell vectors:
1 Cl 0.929 0.929 0.213
2 Cl 0.071 0.071 0.787
3 H 0.000 0.000 0.000
4 P 0.500 0.500 0.500

[4]
DFT (PBEsol) results for a relaxed structure of P2HPbCl.

Properties
- N(E_F) (states/eV per atom) = 0.418
- total energy (Ry per atom) = -0.2846
- crystal system = tetragonal
- size of the total moment (μB per formula unit) = 0.0

a b c (Å): 3.889 3.889 5.768
angles (deg): 90.00 90.00 90.00
Sites, in units of the cell vectors:
1 P 0.000 0.500 0.000
2 P 0.500 0.000 0.000
3 H 0.000 0.000 0.000
4 Cl 0.000 0.000 0.500
5 Pb 0.500 0.500 0.500

[5]
DFT (PBEsol) results for a relaxed structure of P2HPdCl.

Properties
- N(E_F) (states/eV per atom) = 0.582
- total energy (Ry per atom) = -0.2953
- crystal system = tetragonal
- size of the total moment (μB per formula unit) = 0.0

a b c (Å): 3.657 3.657 4.960
angles (deg): 90.00 90.00 90.00
Sites, in units of the cell vectors:
1 Pd 0.500 0.500 0.500
2 P 0.000 0.500 0.000
3 P 0.500 0.000 0.000
4 Cl 0.000 0.000 0.500
5 H 0.000 0.000 0.000

[6]
DFT (PBEsol) results for a relaxed structure of P2HRuCl.

Properties
- N(E_F) (states/eV per atom) = 0.650
- total energy (Ry per atom) = -0.3400
- crystal system = tetragonal
- size of the total moment (μB per formula unit) = 0.7

a b c (Å): 4.421 4.421 5.123
angles (deg): 90.00 90.00 90.00
Site moments in Bohr magnetons follow the coordinates.
Sites, in units of the cell vectors:
1 H 0.500 0.500 0.500  0.33
2 P 0.000 0.500 0.000  -0.02
3 P 0.500 0.000 0.000  -0.02
4 Ru 0.000 0.000 0.000  -0.04
5 Cl 0.000 0.000 0.500  0.04

[7]
DFT (PBEsol) results for a relaxed structure of ScP2HCl.

Properties
- N(E_F) (states/eV per atom) = 0.158
- total energy (Ry per atom) = -0.3707
- crystal system = tetragonal
- size of the total moment (μB per formula unit) = 0.0

a b c (Å): 3.660 3.660 5.105
angles (deg): 90.00 90.00 90.00
Sites, in units of the cell vectors:
1 P 0.500 0.000 0.000
2 P 0.000 0.500 0.000
3 H 0.000 0.000 0.000
4 Cl 0.000 0.000 0.500
5 Sc 0.500 0.500 0.500

[8]
DFT (PBEsol) results for a relaxed structure of SnPHCl2.

Properties
- N(E_F) (states/eV per atom) = 0.580
- total energy (Ry per atom) = -0.2433
- crystal system = tetragonal
- size of the total moment (μB per formula unit) = 0.0

a b c (Å): 3.363 5.075 5.075
angles (deg): 90.00 90.00 90.00
Sites, in units of the cell vectors:
1 P 0.500 0.000 0.000
2 H 0.000 0.000 0.000
3 Cl 0.000 0.500 0.000
4 Cl 0.000 0.000 0.500
5 Sn 0.500 0.500 0.500

[9]
DFT (PBEsol) results for a relaxed structure of TiPHCl2.

Properties
- N(E_F) (states/eV per atom) = 0.375
- total energy (Ry per atom) = -0.3189
- crystal system = tetragonal
- size of the total moment (μB per formula unit) = 0.0

a b c (Å): 4.825 4.690 4.690
angles (deg): 90.00 90.00 90.00
Site moments in Bohr magnetons follow the coordinates.
Sites, in units of the cell vectors:
1 Ti 0.000 0.000 0.000  0.27
2 Cl 0.000 0.000 0.500  -0.07
3 Cl 0.000 0.500 0.000  -0.07
4 H 0.500 0.500 0.500  0.32
5 P 0.500 0.000 0.000  -0.45

[10]
DFT (PBEsol) results for a relaxed structure of HPbCl2.

Properties
- N(E_F) (states/eV per atom) = 0.208
- crystal system = trigonal
- size of the total moment (μB per formula unit) = 0.0
- energy relative to the lowest polymorph listed for this composition (meV/atom) = 0

a b c (Å): 3.586 3.586 7.982
angles (deg): 77.02 77.02 60.00
Sites, in units of the cell vectors:
1 H 0.000 0.000 0.000
2 Cl 0.933 0.933 0.202
3 Cl 0.067 0.067 0.798
4 Pb 0.500 0.500 0.500

[11]
DFT (PBEsol) results for a relaxed structure of HPb2Cl.

Properties
- N(E_F) (states/eV per atom) = 0.847
- total energy (Ry per atom) = -0.2279
- crystal system = cubic
- size of the total moment (μB per formula unit) = 0.0

a b c (Å): 4.988 4.988 4.988
angles (deg): 60.00 60.00 60.00
Sites, in units of the cell vectors:
1 Pb 0.250 0.250 0.250
2 Pb 0.750 0.750 0.750
3 Cl 0.500 0.500 0.500
4 H 0.000 0.000 0.000

[12]
DFT (PBEsol) results for a relaxed structure of HPbCl2.

Properties
- N(E_F) (states/eV per atom) = 0.000
- crystal system = cubic
- size of the total moment (μB per formula unit) = 1.0
- energy relative to the lowest polymorph listed for this composition (meV/atom) = 220

a b c (Å): 4.882 4.882 4.882
angles (deg): 60.00 60.00 60.00
Site moments in Bohr magnetons follow the coordinates.
Sites, in units of the cell vectors:
1 H 0.000 0.000 0.000  0.34
2 Cl 0.750 0.750 0.750  0.05
3 Cl 0.250 0.250 0.250  0.05
4 Pb 0.500 0.500 0.500  0.01

Copy entry 1 word for word.
DFT (PBEsol) results for a relaxed structure of P2HOsCl.

Properties
- N(E_F) (states/eV per atom) = 0.666
- total energy (Ry per atom) = -0.3550
- crystal system = tetragonal
- size of the total moment (μB per formula unit) = 0.0

a b c (Å): 3.671 3.671 4.437
angles (deg): 90.00 90.00 90.00
Sites, in units of the cell vectors:
1 P 0.000 0.500 0.000
2 P 0.500 0.000 0.000
3 Cl 0.000 0.000 0.500
4 Os 0.500 0.500 0.500
5 H 0.000 0.000 0.000

> Which value of N(E_F) does entry 5 give?

0.582 states/eV per atom

> Look up the N(E_F) of the fourth one.

0.418 states/eV per atom